# 1
Density functional theory data (PBE-GGA) for a geometry-optimized CsTm4As3 structure.

Its size of the total moment is 0.0 μB/f.u. As for the uncorrected energy: -39.127 eV for the cell shown.

Lattice parameters (Å, degrees): 4.7815 4.7815 11.0264 90.00 90.00 90.00
Element x y z (fractional)
Cs  0.0000  0.0000  0.0000
Tm  0.0000  0.5000  0.3453
Tm  0.0000  0.5000  0.6547
Tm  0.5000  0.0000  0.3453
Tm  0.5000  0.0000  0.6547
As  0.0000  0.0000  0.5000
As  0.5000  0.5000  0.2103
As  0.5000  0.5000  0.7897

# 2
Density functional theory data (PBE-GGA) for a geometry-optimized CsAs5W3 structure.

Its size of the total moment is 0.0 μB/f.u. As for the uncorrected energy: -62.848 eV for the cell shown.

Lattice parameters (Å, degrees): 5.4772 5.4772 8.6283 90.00 90.00 120.00
Element x y z (fractional)
Cs  0.0000  0.0000  0.0000
As  0.0000  0.0000  0.5000
As  0.3333  0.6667  0.2548
As  0.3333  0.6667  0.7452
As  0.6667  0.3333  0.2548
As  0.6667  0.3333  0.7452
W  0.0000  0.5000  0.5000
W  0.5000  0.0000  0.5000
W  0.5000  0.5000  0.5000

# 3
Density functional theory data (PBE-GGA) for a geometry-optimized CsZr3As5 structure.

Its size of the total moment is 0.0 μB/f.u. As for the uncorrected energy: -54.912 eV for the cell shown.

Lattice parameters (Å, degrees): 6.2438 6.2438 6.5714 90.00 90.00 120.00
Element x y z (fractional)
Cs  0.0000  0.0000  0.0000
Zr  0.0000  0.5000  0.5000
Zr  0.5000  0.0000  0.5000
Zr  0.5000  0.5000  0.5000
As  0.0000  0.0000  0.5000
As  0.3333  0.6667  0.1913
As  0.3333  0.6667  0.8087
As  0.6667  0.3333  0.1913
As  0.6667  0.3333  0.8087

# 4
Density functional theory data (PBE-GGA) for a geometry-optimized CuAs2 structure.

As for the uncorrected energy: -50.468 eV for the cell shown.

Lattice parameters (Å, degrees): 5.1569 3.5739 11.2152 90.00 90.00 90.00
Element x y z (fractional)
Cu  0.1518  0.2500  0.0594
Cu  0.3482  0.7500  0.5594
Cu  0.6518  0.2500  0.4406
Cu  0.8482  0.7500  0.9406
As  0.1455  0.7500  0.2331
As  0.1507  0.2500  0.4071
As  0.3493  0.7500  0.9071
As  0.3545  0.2500  0.7331
As  0.6455  0.7500  0.2669
As  0.6507  0.2500  0.0929
As  0.8493  0.7500  0.5929
As  0.8545  0.2500  0.7669

# 5
Density functional theory data (PBE-GGA) for a geometry-optimized Cu124As structure.

As for the uncorrected energy: -465.239 eV for the cell shown.

Lattice parameters (Å, degrees): 12.7537 12.7537 12.7537 60.00 60.00 60.00
Element x y z (fractional)
Cu  0.0994  0.5000  0.5000
Cu  0.0993  0.5000  0.7003
Cu  0.0994  0.5000  0.9006
Cu  0.0993  0.7003  0.5000
Cu  0.0993  0.7003  0.7003
Cu  0.0994  0.9006  0.5000
Cu  0.1000  0.1000  0.1000
Cu  0.1000  0.1000  0.2999
Cu  0.1000  0.1000  0.5000
Cu  0.1000  0.1000  0.7000
Cu  0.0999  0.0999  0.9001
Cu  0.1000  0.2999  0.1000
Cu  0.1003  0.2999  0.2999
Cu  0.1000  0.2999  0.5000
Cu  0.0997  0.2999  0.7001
Cu  0.0997  0.2999  0.9003
Cu  0.1000  0.5000  0.1000
Cu  0.1000  0.5000  0.2999
Cu  0.1000  0.7000  0.1000
Cu  0.0997  0.7001  0.2999
Cu  0.0997  0.7001  0.9003
Cu  0.0999  0.9001  0.0999
Cu  0.0997  0.9003  0.2999
Cu  0.0997  0.9003  0.7001
Cu  0.0999  0.9001  0.9001
Cu  0.2973  0.5000  0.5000
Cu  0.2973  0.5000  0.7027
Cu  0.2973  0.7027  0.5000
Cu  0.2988  0.2988  0.7012
Cu  0.2988  0.7012  0.2988
Cu  0.2988  0.7012  0.7012
Cu  0.2999  0.1000  0.1000
Cu  0.2999  0.1003  0.2999
Cu  0.2999  0.1000  0.5000
Cu  0.2999  0.0997  0.7001
Cu  0.2999  0.0997  0.9003
Cu  0.2999  0.2999  0.1003
Cu  0.2999  0.2999  0.2999
Cu  0.2997  0.2997  0.5000
Cu  0.2997  0.2997  0.9007
Cu  0.2999  0.5000  0.1000
Cu  0.2997  0.5000  0.2997
Cu  0.2997  0.5000  0.9007
Cu  0.2999  0.7001  0.0997
Cu  0.2999  0.7001  0.9003
Cu  0.2999  0.9003  0.0997
Cu  0.2999  0.9003  0.7001
Cu  0.3000  0.9000  0.9000
Cu  0.2997  0.9007  0.2997
Cu  0.2997  0.9007  0.5000
Cu  0.5000  0.0994  0.5000
Cu  0.5000  0.0993  0.7003
Cu  0.5000  0.0994  0.9006
Cu  0.5000  0.1000  0.1000
Cu  0.5000  0.1000  0.2999
Cu  0.5000  0.2973  0.5000
Cu  0.5000  0.2973  0.7027
Cu  0.5000  0.2999  0.1000
Cu  0.5000  0.2997  0.2997
Cu  0.5000  0.2997  0.9007
Cu  0.5000  0.5000  0.0994
Cu  0.5000  0.5000  0.2973
Cu  0.5000  0.5000  0.7027
Cu  0.5000  0.5000  0.9006
Cu  0.5000  0.7003  0.0993
Cu  0.5000  0.7003  0.7003
Cu  0.5000  0.7001  0.9000
Cu  0.5000  0.7027  0.2973
Cu  0.5000  0.7027  0.5000
Cu  0.5000  0.9000  0.7001
Cu  0.5000  0.9000  0.9000
Cu  0.5000  0.9006  0.0994
Cu  0.5000  0.9007  0.2997
Cu  0.5000  0.9006  0.5000
Cu  0.7003  0.0993  0.5000
Cu  0.7003  0.0993  0.7003
Cu  0.7000  0.1000  0.1000
Cu  0.7001  0.0997  0.2999
Cu  0.7001  0.0997  0.9003
Cu  0.7001  0.2999  0.0997
Cu  0.7001  0.2999  0.9003
Cu  0.7003  0.5000  0.0993
Cu  0.7003  0.5000  0.7003
Cu  0.7001  0.5000  0.9000
Cu  0.7003  0.7003  0.0993
Cu  0.7003  0.7003  0.5000
Cu  0.7001  0.7001  0.7001
Cu  0.7001  0.7001  0.8997
Cu  0.7001  0.9003  0.0997
Cu  0.7001  0.9003  0.2999
Cu  0.7001  0.9000  0.5000
Cu  0.7001  0.8997  0.7001
Cu  0.7001  0.9000  0.9000
Cu  0.7012  0.2988  0.2988
Cu  0.7012  0.2988  0.7012
Cu  0.7012  0.7012  0.2988
Cu  0.7027  0.2973  0.5000
Cu  0.7027  0.5000  0.2973
Cu  0.7027  0.5000  0.5000
Cu  0.9001  0.0999  0.0999
Cu  0.9003  0.0997  0.2999
Cu  0.9003  0.0997  0.7001
Cu  0.9001  0.0999  0.9001
Cu  0.9003  0.2999  0.0997
Cu  0.9003  0.2999  0.7001
Cu  0.9000  0.3000  0.9000
Cu  0.9000  0.5000  0.7001
Cu  0.9000  0.5000  0.9000
Cu  0.9003  0.7001  0.0997
Cu  0.9003  0.7001  0.2999
Cu  0.9000  0.7001  0.5000
Cu  0.8997  0.7001  0.7001
Cu  0.9000  0.7001  0.9000
Cu  0.9001  0.9001  0.0999
Cu  0.9000  0.9000  0.3000
Cu  0.9000  0.9000  0.5000
Cu  0.9000  0.9000  0.7001
Cu  0.9000  0.9000  0.9000
Cu  0.9006  0.0994  0.5000
Cu  0.9007  0.2997  0.2997
Cu  0.9007  0.2997  0.5000
Cu  0.9006  0.5000  0.0994
Cu  0.9007  0.5000  0.2997
Cu  0.9006  0.5000  0.5000
As  0.5000  0.5000  0.5000

# 6
Density functional theory data (PBE-GGA) for a geometry-optimized Cu17As structure.

Its excess energy over the best structure of this formula in the dataset is 0.0000 eV/atom. As for the uncorrected energy: -133.676 eV for the cell shown.

Lattice parameters (Å, degrees): 4.3923 5.0825 30.9266 90.00 90.17 90.00
Element x y z (fractional)
Cu  0.0000  0.0000  0.0000
Cu  0.0003  0.0024  0.2034
Cu  0.0003  0.4976  0.2034
Cu  0.0000  0.5000  0.0000
Cu  0.9997  0.5024  0.7966
Cu  0.9997  0.9976  0.7966
Cu  0.1633  0.2500  0.8641
Cu  0.1662  0.2500  0.0678
Cu  0.1666  0.7500  0.2716
Cu  0.1675  0.7500  0.0673
Cu  0.1686  0.7500  0.8646
Cu  0.3324  0.0016  0.9324
Cu  0.3324  0.4984  0.9324
Cu  0.3343  0.0012  0.7287
Cu  0.3343  0.4988  0.7287
Cu  0.3338  0.5007  0.1351
Cu  0.3338  0.9993  0.1351
Cu  0.4943  0.2500  0.2027
Cu  0.4980  0.2500  0.7973
Cu  0.5000  0.2500  0.0006
Cu  0.5000  0.7500  0.9994
Cu  0.5020  0.7500  0.2027
Cu  0.5057  0.7500  0.7973
Cu  0.6662  0.0007  0.8649
Cu  0.6662  0.4993  0.8649
Cu  0.6657  0.5012  0.2713
Cu  0.6657  0.9988  0.2713
Cu  0.6676  0.5016  0.0676
Cu  0.6676  0.9984  0.0676
Cu  0.8314  0.2500  0.1354
Cu  0.8325  0.2500  0.9327
Cu  0.8334  0.2500  0.7284
Cu  0.8338  0.7500  0.9322
Cu  0.8367  0.7500  0.1359
As  0.1664  0.2500  0.2802
As  0.8336  0.7500  0.7198

# 7
Density functional theory data (PBE-GGA) for a geometry-optimized Cu17As structure.

Its excess energy over the best structure of this formula in the dataset is 0.0051 eV/atom. As for the uncorrected energy: -133.494 eV for the cell shown.

Lattice parameters (Å, degrees): 5.0812 5.0812 31.3608 90.00 90.00 120.00
Element x y z (fractional)
Cu  0.0000  0.0000  0.0000
Cu  0.0000  0.0000  0.1983
Cu  0.0000  0.0000  0.8017
Cu  0.0000  0.5000  0.0000
Cu  0.0015  0.5008  0.1993
Cu  0.1664  0.3327  0.7340
Cu  0.1664  0.8336  0.7340
Cu  0.1668  0.3335  0.1324
Cu  0.1669  0.3338  0.9338
Cu  0.1668  0.8332  0.1324
Cu  0.1669  0.8331  0.9338
Cu  0.3327  0.1664  0.2660
Cu  0.3333  0.6667  0.0660
Cu  0.3333  0.6667  0.8666
Cu  0.3338  0.1669  0.0662
Cu  0.3335  0.1668  0.8676
Cu  0.4992  0.5008  0.1993
Cu  0.4992  0.9985  0.1993
Cu  0.5000  0.0000  0.0000
Cu  0.5000  0.5000  0.0000
Cu  0.5008  0.0015  0.8007
Cu  0.5008  0.4992  0.8007
Cu  0.6665  0.8332  0.1324
Cu  0.6662  0.8331  0.9338
Cu  0.6667  0.3333  0.1334
Cu  0.6667  0.3333  0.9340
Cu  0.6673  0.8336  0.7340
Cu  0.8331  0.1669  0.0662
Cu  0.8332  0.1668  0.8676
Cu  0.8331  0.6662  0.0662
Cu  0.8332  0.6665  0.8676
Cu  0.8336  0.1664  0.2660
Cu  0.8336  0.6673  0.2660
Cu  0.9985  0.4992  0.8007
As  0.3333  0.6667  0.2736
As  0.6667  0.3333  0.7264

# 8
Density functional theory data (PBE-GGA) for a geometry-optimized Cu10As structure.

As for the uncorrected energy: -82.939 eV for the cell shown.

Lattice parameters (Å, degrees): 4.3751 4.3751 28.8581 90.66 90.66 47.93
Element x y z (fractional)
Cu  0.0461  0.0461  0.1841
Cu  0.0540  0.0540  0.9013
Cu  0.1472  0.1472  0.2737
Cu  0.1511  0.1511  0.9857
Cu  0.2464  0.2464  0.0708
Cu  0.2535  0.2535  0.7881
Cu  0.3465  0.3465  0.1552
Cu  0.3544  0.3544  0.8723
Cu  0.4494  0.4494  0.2414
Cu  0.4518  0.4518  0.9577
Cu  0.5482  0.5482  0.0423
Cu  0.5506  0.5506  0.7586
Cu  0.6456  0.6456  0.1277
Cu  0.6535  0.6535  0.8448
Cu  0.7465  0.7465  0.2119
Cu  0.7536  0.7536  0.9292
Cu  0.8489  0.8489  0.0143
Cu  0.8528  0.8528  0.7263
Cu  0.9460  0.9460  0.0987
Cu  0.9539  0.9539  0.8159
As  0.1512  0.1512  0.7040
As  0.8488  0.8488  0.2960

# 9
Density functional theory data (PBE-GGA) for a geometry-optimized Cu7As2 structure.

As for the uncorrected energy: -33.509 eV for the cell shown.

Lattice parameters (Å, degrees): 2.5740 2.5740 24.9419 90.00 90.00 120.00
Element x y z (fractional)
Cu  0.0000  0.0000  0.0000
Cu  0.0000  0.0000  0.2524
Cu  0.0000  0.0000  0.7476
Cu  0.3333  0.6667  0.1697
Cu  0.3333  0.6667  0.9144
Cu  0.6667  0.3333  0.0856
Cu  0.6667  0.3333  0.8303
As  0.3333  0.6667  0.6579
As  0.6667  0.3333  0.3421

# 10
Density functional theory data (PBE-GGA) for a geometry-optimized CuAs2 structure.

As for the uncorrected energy: -22.080 eV for the cell shown.

Lattice parameters (Å, degrees): 5.4374 5.4374 5.4374 60.00 60.00 60.00
Element x y z (fractional)
Cu  0.1250  0.1250  0.1250
Cu  0.8750  0.8750  0.8750
As  0.0000  0.5000  0.5000
As  0.5000  0.0000  0.5000
As  0.5000  0.5000  0.0000
As  0.5000  0.5000  0.5000

# 11
Density functional theory data (PBE-GGA) for a geometry-optimized CuAs2 structure.

As for the uncorrected energy: -19.348 eV for the cell shown.

Lattice parameters (Å, degrees): 7.3313 7.3313 7.3313 60.00 60.00 60.00
Element x y z (fractional)
Cu  0.1250  0.1250  0.1250
Cu  0.8750  0.8750  0.8750
As  0.0000  0.0000  0.0000
As  0.0000  0.0000  0.5000
As  0.0000  0.5000  0.0000
As  0.5000  0.0000  0.0000

# 12
Density functional theory data (PBE-GGA) for a geometry-optimized DyCu3As2 structure.

Its size of the total moment is 0.0 μB/f.u. As for the uncorrected energy: -27.936 eV for the cell shown.

Lattice parameters (Å, degrees): 4.1211 4.1211 6.6654 90.00 90.00 120.00
Element x y z (fractional)
Dy  0.0000  0.0000  0.0000
Cu  0.0000  0.0000  0.5000
Cu  0.3333  0.6667  0.3517
Cu  0.6667  0.3333  0.6483
As  0.3333  0.6667  0.7494
As  0.6667  0.3333  0.2506

| no. | V (Å³ per atom) |
| --- | --- |
| 1 | 31.5 |
| 2 | 24.9 |
| 3 | 24.7 |
| 4 | 17.2 |
| 5 | 11.7 |
| 6 | 19.2 |
| 7 | 19.5 |
| 8 | 18.6 |
| 9 | 15.9 |
| 10 | 18.9 |
| 11 | 46.4 |
| 12 | 16.3 |